This record from Alexandria describes CaTcMoO6 after structural relaxation. The functional is PBE with a Hubbard U.

Properties
The total energy is -7.299 eV/atom. For the calculated density, the calculation gives 4.853 g cm⁻³.

a b c (Å): 4.851 4.851 9.596
angles (deg): 90.00 90.00 90.00
Sites, in units of the cell vectors:
Ca (0.000, 0.000, 0.000)
Ca (0.500, 0.500, 0.500)
Tc (0.000, 0.000, 0.333)
Tc (0.500, 0.500, 0.833)
Mo (0.000, 0.000, 0.665)
Mo (0.500, 0.500, 0.165)
O (0.176, 0.176, 0.496)
O (0.218, 0.218, 0.189)
O (0.219, 0.219, 0.814)
O (0.281, 0.719, 0.314)
O (0.282, 0.718, 0.689)
O (0.324, 0.676, 0.996)
O (0.676, 0.324, 0.996)
O (0.718, 0.282, 0.689)
O (0.719, 0.281, 0.314)
O (0.781, 0.781, 0.814)
O (0.782, 0.782, 0.189)
O (0.824, 0.824, 0.496)